VASP calculation (GGA-PBEsol) on crystalline HfAlFeN2 at its relaxed geometry.

Structure (extended XYZ):
```
5
Lattice="3.7536 0.0000 0.0000 0.0000 3.7536 0.0000 0.0000 0.0000 4.3912" Properties=species:S:1:pos:R:3 pbc="T T T"
Al 0.0000 0.0000 2.1956
N 0.0000 1.8768 0.0000
N 1.8768 0.0000 0.0000
Hf 1.8768 1.8768 2.1956
Fe 0.0000 0.0000 0.0000
```

Computed properties:
Its formation energy from raw total energies is 0.688 eV/atom.